i) First-principles (PBE) data for PmBeZn after structural relaxation, as listed in OQMD via LeMat-Bulk.

a b c (Å): 6.586 6.586 6.586
angles (deg): 90.00 90.00 90.00
Space group F-43m (No. 216)
Asymmetric unit:
Pm 0.000 0.000 0.000 [4 per cell]
Be 0.250 0.250 0.750 [4 per cell]
Zn 0.250 0.250 0.250 [4 per cell]

Properties
Total moment (μB per cell): 0.04



ii) First-principles (PBE) data for PmBeZn after structural relaxation, as listed in OQMD via LeMat-Bulk.

a b c (Å): 6.381 6.381 6.381
angles (deg): 90.00 90.00 90.00
Space group F-43m (No. 216)
Asymmetric unit:
Pm 0.000 0.000 0.000 [4 per cell]
Be 0.000 0.000 0.500 [4 per cell]
Zn 0.250 0.250 0.750 [4 per cell]

Properties
Total moment (μB per cell): 0.24



Most stable pick: ii). Distance to second place: 381 meV per atom.



i) First-principles (PBE) data for PrBe after structural relaxation, as listed in OQMD via LeMat-Bulk.

a b c (Å): 6.413 6.413 6.413
angles (deg): 90.00 90.00 90.00
Space group F-43m (No. 216)
Asymmetric unit:
Pr 0.000 0.000 0.000 [4 per cell]
Be 0.250 0.250 0.250 [4 per cell]

Properties
Total moment (μB per cell): 3.56



ii) First-principles (PBE) data for PrBe after structural relaxation, as listed in OQMD via LeMat-Bulk.

a b c (Å): 3.6575 3.6575 4.3029
angles (deg): 90.00 90.00 120.00
Space group P-6m2 (No. 187)
Asymmetric unit:
Pr 0.0000 0.0000 0.0000 [1 per cell]
Be 0.3333 0.6667 0.5000 [1 per cell]

Properties
Total moment (μB per cell): 0.00



iii) First-principles (PBE) data for PrBe after structural relaxation, as listed in OQMD via LeMat-Bulk.

a b c (Å): 5.955 5.955 5.955
angles (deg): 90.00 90.00 90.00
Space group Fm-3m (No. 225)
Asymmetric unit:
Pr 0.000 0.000 0.000 [4 per cell]
Be 0.000 0.000 0.500 [4 per cell]

Properties
Total moment (μB per cell): 4.98



Most stable pick: ii). Distance to second place: 16 meV per atom.